Record 1
Below is a geometry-optimized PuTaGe2 structure, with properties calculated at the PBE level.

a = 2.974 Å, b = 2.974 Å, c = 10.591 Å
α = 81.93°, β = 81.93°, γ = 60.00°
Each line ends with the local moment (μB).
Positions (direct):
Ge 0.095 0.095 0.715  -0.02
Ge 0.905 0.905 0.285  -0.02
Ta 0.500 0.500 0.500  -0.05
Pu 0.000 0.000 0.000  4.96

Output
Energy of formation from the pure elements: 0.112 eV per atom
Energy above the most stable polymorph in this dataset: 0.346 eV per atom
DOS at the Fermi energy: 5.96 states/eV per cell
ρ: 11.83 g cm⁻³


Record 2
Below is a geometry-optimized LiMgGa structure, with properties calculated at the PBE level.

a = 4.536 Å, b = 4.536 Å, c = 4.536 Å
α = 60.00°, β = 60.00°, γ = 60.00°
Positions (direct):
Mg 0.000 0.000 0.000
Li 0.500 0.500 0.500
Ga 0.250 0.250 0.250

Output
Energy of formation from the pure elements: -0.011 eV per atom
Energy above the most stable polymorph in this dataset: 0.202 eV per atom
DOS at the Fermi energy: 2.99 states/eV per cell
ρ: 2.54 g cm⁻³


Record 3
Below is a geometry-optimized CsRbFe2I8 structure, with properties calculated at the PBE level.

a = 8.502 Å, b = 8.502 Å, c = 11.930 Å
α = 90.00°, β = 90.00°, γ = 120.00°
Each line ends with the local moment (μB).
Positions (direct):
I 0.667 0.333 0.520  0.22
I 0.830 0.170 0.235  0.17
I 0.661 0.830 0.765  0.17
I 0.339 0.170 0.235  0.17
I 0.830 0.661 0.235  0.17
I 0.170 0.339 0.765  0.17
I 0.333 0.667 0.480  0.22
I 0.170 0.830 0.765  0.17
Cs 0.000 0.000 0.500  0.01
Fe 0.333 0.667 0.691  3.54
Fe 0.667 0.333 0.309  3.54
Rb 0.000 0.000 0.000  0.01

Output
Formation energy without anion corrections: -632 meV per atom
ρ: 2.99 g cm⁻³


Record 4
Below is a geometry-optimized LiErFe4 structure, with properties calculated at the PBE level.

a = 4.945 Å, b = 4.945 Å, c = 4.945 Å
α = 60.00°, β = 60.00°, γ = 60.00°
Each line ends with the local moment (μB).
Positions (direct):
Fe 0.625 0.625 0.126  1.97
Fe 0.625 0.126 0.625  1.97
Fe 0.625 0.625 0.625  1.97
Fe 0.126 0.625 0.625  1.97
Er 0.000 0.000 0.000  -0.43
Li 0.250 0.250 0.250  -0.08

Output
Energy of formation from the pure elements: 0.061 eV per atom
DOS at the Fermi energy: 7.14 states/eV per cell
ρ: 7.72 g cm⁻³


Record 5
Below is a geometry-optimized LiErGe2Os structure, with properties calculated at the PBE level.

a = 4.129 Å, b = 4.129 Å, c = 5.963 Å
α = 110.26°, β = 110.26°, γ = 90.00°
Positions (direct):
Ge 0.623 0.623 0.245
Ge 0.377 0.377 0.755
Li 0.250 0.750 0.500
Er 0.000 0.000 0.000
Os 0.750 0.250 0.500

Output
Energy of formation from the pure elements: -0.397 eV per atom
DOS at the Fermi energy: 3.21 states/eV per cell
ρ: 9.55 g cm⁻³


Record 6
Below is a geometry-optimized PmZn2SiRu2 structure, with properties calculated at the PBE level.

a = 4.449 Å, b = 4.449 Å, c = 5.666 Å
α = 90.00°, β = 90.00°, γ = 90.00°
Positions (direct):
Zn 0.500 0.500 0.266
Zn 0.500 0.500 0.734
Pm 0.000 0.000 0.500
Si 0.000 0.000 0.000
Ru 0.500 0.000 0.000
Ru 0.000 0.500 0.000

Output
Formation energy without anion corrections: -257 meV per atom
DOS at the Fermi energy: 2.86 states/eV per cell
ρ: 7.49 g cm⁻³


Record 7
Below is a geometry-optimized TmLuCoAg structure, with properties calculated at the PBE level.

a = 4.850 Å, b = 4.850 Å, c = 4.850 Å
α = 60.00°, β = 60.00°, γ = 60.00°
Each line ends with the local moment (μB).
Positions (direct):
Lu 0.000 0.000 0.000  -0.08
Co 0.750 0.750 0.750  0.54
Tm 0.500 0.500 0.500  -0.09
Ag 0.250 0.250 0.250  0.00

Output
Energy of formation from the pure elements: -0.231 eV per atom
DOS at the Fermi energy: 3.08 states/eV per cell
ρ: 10.51 g cm⁻³


Record 8
Below is a geometry-optimized Dy2ThCdHg4 structure, with properties calculated at the PBE level.

a = 5.099 Å, b = 5.099 Å, c = 9.621 Å
α = 74.63°, β = 74.63°, γ = 60.00°
Positions (direct):
Hg 0.379 0.379 0.862
Hg 0.621 0.621 0.138
Hg 0.875 0.875 0.375
Hg 0.125 0.125 0.625
Th 0.000 0.000 0.000
Dy 0.760 0.760 0.720
Dy 0.240 0.240 0.280
Cd 0.500 0.500 0.500

Output
Energy of formation from the pure elements: -0.331 eV per atom
DOS at the Fermi energy: 6.68 states/eV per cell
ρ: 11.85 g cm⁻³